(1)
Below is Rb2LiSI6 after structural relaxation, with properties calculated at the PBE-GGA level.

SG   I4/mmm, No. 139
Final energy   -2.396 eV/atom

Structure (POSCAR):
```
Rb2LiSI6
1.0
-1.478 -7.336 3.290
7.996 -0.990 1.384
2.624 -1.553 7.872
I Rb S Li
6 2 1 1
direct
0.767 0.233 0.000
0.721 0.721 0.557
0.233 0.233 0.000
0.279 0.279 0.443
0.233 0.767 0.000
0.767 0.767 0.000
0.750 0.250 0.500
0.250 0.750 0.500
0.000 0.000 0.000
0.500 0.500 0.000
```

***

(2)
Below is KLiTiN2 after structural relaxation, with properties calculated at the PBE-GGA level.

SG   C2/m, No. 12
Final energy   -6.391 eV/atom

Structure (POSCAR):
```
KLiTiN2
1.0
-3.443 0.227 0.281
1.966 -2.563 4.823
0.673 7.627 2.089
K N Ti Li
2 4 2 2
direct
0.343 0.686 0.364
0.657 0.314 0.636
0.114 0.229 0.958
0.886 0.771 0.042
0.610 0.220 0.276
0.390 0.780 0.724
0.053 0.106 0.170
0.947 0.894 0.830
0.690 0.379 0.046
0.310 0.621 0.954
```

***

(3)
Below is PuUTcSn after structural relaxation, with properties calculated at the PBE-GGA level.

SG   F-43m, No. 216
Final energy   -10.041 eV/atom
Formation enthalpy at 0 K   -0.044 eV/atom

Structure (POSCAR):
```
PuUTcSn
1.0
4.881 0.000 0.000
2.440 4.227 0.000
2.440 1.409 3.985
Pu Tc U Sn
1 1 1 1
direct
0.500 0.500 0.500
0.000 0.000 0.000
0.750 0.750 0.750
0.250 0.250 0.250
```

***

(4)
Below is ScIr after structural relaxation, with properties calculated at the PBE-GGA level.

SG   Pmmn, No. 59
Final energy   -8.208 eV/atom
Formation enthalpy at 0 K   -0.611 eV/atom

Structure (POSCAR):
```
ScIr
1.0
-1.242 -0.096 -2.791
4.285 -1.897 -1.841
-1.531 -4.262 0.828
Sc Ir
2 2
direct
0.000 0.500 0.276
0.500 0.000 0.557
0.000 0.000 0.068
0.500 0.500 0.765
```